Entry 1:
The following is a DFT calculation (PBE-GGA) of a relaxed LuMgZnFe crystal.

Cell: 6.5882 6.5882 6.5882 Å, 90.00 90.00 90.00°
Last column: nearest neighbours and their distance in Å.
Space group F-43m (No. 216)
Unique sites:
1 Lu 0.0000 0.0000 0.0000 [4 per cell]  4 Mg 2.85, 4 Zn 2.85
2 Mg 0.2500 0.2500 0.7500 [4 per cell]  4 Fe 2.85, 4 Lu 2.85
3 Zn 0.2500 0.2500 0.2500 [4 per cell]  4 Fe 2.85, 4 Lu 2.85
4 Fe 0.0000 0.0000 0.5000 [4 per cell]  4 Mg 2.85, 4 Zn 2.85

Results
Relative energy among the computed polymorphs (meV per atom): 0.0
M_tot (μB per cell): 9.9


Entry 2:
The following is a DFT calculation (PBE-GGA) of a relaxed LiNdHg crystal.

Cell: 7.1005 7.1005 7.1005 Å, 90.00 90.00 90.00°
Last column: nearest neighbours and their distance in Å.
Space group F-43m (No. 216)
Unique sites:
1 Li 0.0000 0.0000 0.0000 [4 per cell]  4 Nd 3.07
2 Nd 0.2500 0.2500 0.7500 [4 per cell]  4 Hg 3.07, 4 Li 3.07
3 Hg 0.0000 0.0000 0.5000 [4 per cell]  4 Nd 3.07

Results
Relative energy among the computed polymorphs (meV per atom): 512.8
M_tot (μB per cell): 0.0


Entry 3:
The following is a DFT calculation (PBE-GGA) of a relaxed Sm3Hg crystal.

Cell: 8.9194 8.8525 6.3703 Å, 90.00 90.00 90.00°
Last column: nearest neighbours and their distance in Å.
Space group Pnma (No. 62)
Unique sites:
1 Sm 0.0326 0.2500 0.0968 [4 per cell]  3 Hg 3.40-3.45, 6 Sm 3.67-3.72
2 Sm 0.1804 0.0456 0.6302 [8 per cell]  3 Hg 3.07-3.14
3 Hg 0.1071 0.7500 0.3990 [4 per cell]  7 Sm 3.07-3.40

Results
M_tot (μB per cell): 0.1
Energy relative to the elements (eV per atom): -0.1528


Entry 4:
The following is a DFT calculation (PBE-GGA) of a relaxed YNbGa crystal.

Cell: 6.7185 6.7185 6.7185 Å, 90.00 90.00 90.00°
Last column: nearest neighbours and their distance in Å.
Space group F-43m (No. 216)
Unique sites:
1 Y 0.0000 0.0000 0.0000 [4 per cell]  4 Nb 2.91
2 Nb 0.2500 0.2500 0.7500 [4 per cell]  4 Y 2.91, 4 Ga 2.91
3 Ga 0.0000 0.0000 0.5000 [4 per cell]  4 Nb 2.91

Results
Relative energy among the computed polymorphs (meV per atom): 0.0
M_tot (μB per cell): 11.8


Entry 5:
The following is a DFT calculation (PBE-GGA) of a relaxed GdTm3I crystal.

Cell: 6.5354 8.9724 10.9268 Å, 90.00 90.00 90.00°
Last column: nearest neighbours and their distance in Å.
Space group Imma (No. 74)
Unique sites:
1 Gd 0.0000 0.2500 0.0158 [4 per cell]  1 Tm 3.17
2 Tm 0.0000 0.2500 0.3063 [4 per cell]  2 I 3.08, 1 Gd 3.17, 4 Tm 3.31
3 Tm 0.2500 0.0635 0.7500 [8 per cell]  2 I 3.23, 5 Tm 3.27-3.35
4 I 0.0000 0.0000 0.5000 [4 per cell]  6 Tm 3.08-3.23

Results
VASP energy (eV/atom): -3.851
M_tot (μB per cell): 1.9


Entry 6:
The following is a DFT calculation (PBE-GGA) of a relaxed MgHgSO crystal.

Cell: 3.7385 12.0047 6.0100 Å, 90.00 90.00 90.00°
Last column: nearest neighbours and their distance in Å.
Space group Cmcm (No. 63)
Unique sites:
1 Mg 0.0000 0.1013 0.2500 [4 per cell]  2 O 1.93
2 Hg 0.0000 0.3893 0.2500 [4 per cell]  2 S 2.66, 4 O 2.74
3 S 0.0000 0.2679 0.7500 [4 per cell]  2 Mg 2.44, 2 Hg 2.66
4 O 0.0000 0.0000 0.0000 [4 per cell]  2 Mg 1.93

Results
Relative energy among the computed polymorphs (meV per atom): 380.9


Entry 7:
The following is a DFT calculation (PBE-GGA) of a relaxed Zn2Ag crystal.

Cell: 4.4871 8.6207 4.8495 Å, 90.00 90.00 90.00°
Last column: nearest neighbours and their distance in Å.
Space group Pmmn (No. 59, origin choice 2)
Unique sites:
1 Zn 0.2500 0.0874 0.0773 [4 per cell]  4 Ag 2.75-2.91, 8 Zn 2.76-2.91
2 Zn 0.2500 0.2500 0.5868 [2 per cell]  6 Zn 2.73-2.84, 6 Ag 2.80-2.89
3 Zn 0.2500 0.7500 0.0924 [2 per cell]  8 Zn 2.73-2.91, 4 Ag 2.81-2.82
4 Ag 0.2500 0.5847 0.5938 [4 per cell]  9 Zn 2.75-2.91, 3 Ag 2.83-2.85

Results
Energy relative to the elements (eV per atom): -0.0405


Entry 8:
The following is a DFT calculation (PBE-GGA) of a relaxed Nd2GaSiCl2 crystal.

Cell: 4.0995 4.0995 11.2221 Å, 90.00 90.00 120.00°
Last column: nearest neighbours and their distance in Å.
Space group P3m1 (No. 156)
Unique sites:
1 Nd 0.0000 0.0000 0.0000 [1 per cell]  3 Cl 2.90, 3 Si 3.04
2 Nd 0.0000 0.0000 0.3762 [1 per cell]  3 Cl 2.90, 3 Ga 3.03
3 Ga 0.3333 0.6667 0.2073 [1 per cell]  3 Si 2.40
4 Si 0.6667 0.3333 0.1701 [1 per cell]  3 Ga 2.40
5 Cl 0.3333 0.6667 0.8509 [1 per cell]  3 Nd 2.90
6 Cl 0.6667 0.3333 0.5261 [1 per cell]  3 Nd 2.90

Results
VASP energy (eV/atom): -5.017
M_tot (μB per cell): 0.0


Entry 9:
The following is a DFT calculation (PBE-GGA) of a relaxed BaHoPO crystal.

Cell: 4.9442 4.9442 9.2286 Å, 90.00 90.00 90.00°
Last column: nearest neighbours and their distance in Å.
Space group P4/nmm (No. 129, origin choice 2)
Unique sites:
1 Ba 0.2500 0.2500 0.0970 [2 per cell]  4 O 2.63
2 Ho 0.2500 0.7500 0.5000 [2 per cell]  4 P 2.70
3 P 0.2500 0.2500 0.6175 [2 per cell]  4 Ho 2.70
4 O 0.2500 0.7500 0.0000 [2 per cell]  4 Ba 2.63

Results
Relative energy among the computed polymorphs (meV per atom): 509.6
M_tot (μB per cell): 0.3


Entry 10:
The following is a DFT calculation (PBE-GGA) of a relaxed YAl2Co crystal.

Cell: 6.4589 6.4589 6.4589 Å, 90.00 90.00 90.00°
Last column: nearest neighbours and their distance in Å.
Space group F-43m (No. 216)
Unique sites:
1 Y 0.0000 0.0000 0.0000 [4 per cell]  4 Co 2.80, 4 Al 2.80
2 Al 0.0000 0.0000 0.5000 [4 per cell]  4 Co 2.80, 4 Al 2.80
3 Al 0.2500 0.2500 0.2500 [4 per cell]  4 Al 2.80, 4 Y 2.80
4 Co 0.2500 0.2500 0.7500 [4 per cell]  4 Al 2.80, 4 Y 2.80

Results
VASP energy (eV/atom): -5.484
M_tot (μB per cell): 0.3


Entry 11:
The following is a DFT calculation (PBE-GGA) of a relaxed Cs2Zn3Se4O12 crystal.

Cell: 7.0949 7.4615 14.6250 Å, 87.63 86.76 74.51°
Last column: nearest neighbours and their distance in Å.
Space group P-1 (No. 2)
Unique sites:
1 Cs 0.1963 0.2114 0.0101 [2 per cell]  5 O 2.94-3.07
2 Cs 0.2176 0.1886 0.5091 [2 per cell]  6 O 2.94-3.23
3 Zn 0.0286 0.9680 0.7503 [2 per cell]  4 O 1.96-2.00
4 Zn 0.3208 0.6480 0.3775 [2 per cell]  4 O 1.96-1.99
5 Zn 0.3524 0.6848 0.1105 [2 per cell]  4 O 1.96-1.99
6 Se 0.0077 0.4000 0.7695 [2 per cell]  3 O 1.73-1.74
7 Se 0.2824 0.6808 0.6081 [2 per cell]  3 O 1.72-1.73
8 Se 0.3326 0.7087 0.8816 [2 per cell]  3 O 1.72-1.73
9 Se 0.4297 0.9775 0.2622 [2 per cell]  3 O 1.73-1.74
10 O 0.0655 0.6360 0.3374 [2 per cell]  1 Se 1.73
11 O 0.0789 0.1741 0.8146 [2 per cell]  1 Se 1.74
12 O 0.1036 0.7523 0.8380 [2 per cell]  1 Se 1.72
13 O 0.1978 0.0520 0.3151 [2 per cell]  1 Se 1.74
14 O 0.2097 0.5144 0.1671 [2 per cell]  1 Se 1.73
15 O 0.2190 0.7566 0.4979 [2 per cell]  1 Se 1.73
16 O 0.2482 0.8943 0.6562 [2 per cell]  1 Se 1.72
17 O 0.2719 0.8008 0.9893 [2 per cell]  1 Se 1.73
18 O 0.3722 0.9238 0.1553 [2 per cell]  1 Se 1.73
19 O 0.3755 0.4736 0.9053 [2 per cell]  1 Se 1.72
20 O 0.4660 0.3870 0.4016 [2 per cell]  1 Se 1.72
21 O 0.4847 0.2365 0.6823 [2 per cell]  1 Se 1.73

Results
VASP energy (eV/atom): -4.978


Entry 12:
The following is a DFT calculation (PBE-GGA) of a relaxed ZnSb crystal.

Cell: 5.0338 5.5304 6.3501 Å, 90.00 90.00 90.00°
Last column: nearest neighbours and their distance in Å.
Space group Pnma (No. 62)
Unique sites:
1 Zn 0.2449 0.2500 0.1450 [4 per cell]  5 Sb 2.78-2.97, 2 Zn 2.85
2 Sb 0.2478 0.2500 0.5985 [4 per cell]  5 Zn 2.78-2.97

Results
VASP energy (eV/atom): -2.618


no.,volume (Å³ per atom)
1,17.9
2,29.8
3,31.4
4,25.3
5,32.0
6,16.9
7,15.6
8,27.2
9,28.2
10,16.8
11,17.7
12,22.1